# 1
Density functional theory data (GGA-PBE) for La3OsPb after structural relaxation.

Computed properties:
Raw total energy: -6.25 eV/atom
ΔE to the lowest computed polymorph: 105 meV per atom
DFT formation energy: -0.302 eV/atom

```
data_La3OsPb
_cell_length_a 7.098
_cell_length_b 7.098
_cell_length_c 7.098
_cell_angle_alpha 71.78
_cell_angle_beta 71.78
_cell_angle_gamma 71.78
_symmetry_space_group_name_H-M 'P 1'
_symmetry_Int_Tables_number 1
_symmetry_space_group_name_Hall 'P 1'
loop_
_atom_site_label
_atom_site_type_symbol
_atom_site_fract_x
_atom_site_fract_y
_atom_site_fract_z
_atom_site_occupancy
La1 La 0.033 0.391 0.576 1
La2 La 0.076 0.891 0.533 1
La3 La 0.391 0.576 0.033 1
La4 La 0.533 0.076 0.891 1
La5 La 0.576 0.033 0.391 1
La6 La 0.891 0.533 0.076 1
Os1 Os 0.216 0.216 0.216 1
Os2 Os 0.716 0.716 0.716 1
Pb1 Pb 0.016 0.016 0.016 1
Pb2 Pb 0.516 0.516 0.516 1
```



# 2
Density functional theory data (GGA-PBE) for LaOsPb3 after structural relaxation.

Computed properties:
Raw total energy: -3.38 eV/atom
ΔE to the lowest computed polymorph: 1678 meV per atom
DFT formation energy: 2.073 eV/atom

```
data_LaOsPb3
_cell_length_a 5.919
_cell_length_b 5.919
_cell_length_c 5.919
_cell_angle_alpha 90.00
_cell_angle_beta 90.00
_cell_angle_gamma 90.00
_symmetry_space_group_name_H-M 'P 1'
_symmetry_Int_Tables_number 1
_symmetry_space_group_name_Hall 'P 1'
loop_
_atom_site_label
_atom_site_type_symbol
_atom_site_fract_x
_atom_site_fract_y
_atom_site_fract_z
_atom_site_occupancy
La1 La 0.000 0.000 0.000 1
Os1 Os 0.500 0.500 0.500 1
Pb1 Pb 0.000 0.000 0.500 1
Pb2 Pb 0.000 0.500 0.000 1
Pb3 Pb 0.500 0.000 0.000 1
```



# 3
Density functional theory data (GGA-PBE) for La3OsPb after structural relaxation.

Computed properties:
Raw total energy: -6.29 eV/atom
ΔE to the lowest computed polymorph: 62 meV per atom
DFT formation energy: -0.345 eV/atom

```
data_La3OsPb
_cell_length_a 7.693
_cell_length_b 7.695
_cell_length_c 7.699
_cell_angle_alpha 61.89
_cell_angle_beta 61.92
_cell_angle_gamma 62.03
_symmetry_space_group_name_H-M 'P 1'
_symmetry_Int_Tables_number 1
_symmetry_space_group_name_Hall 'P 1'
loop_
_atom_site_label
_atom_site_type_symbol
_atom_site_fract_x
_atom_site_fract_y
_atom_site_fract_z
_atom_site_occupancy
La1 La 0.000 0.000 0.000 1
La2 La 0.064 0.938 0.499 1
La3 La 0.426 0.427 0.137 1
La4 La 0.491 0.363 0.636 1
La5 La 0.568 0.859 0.568 1
La6 La 0.923 0.504 0.066 1
Os1 Os 0.245 0.682 0.818 1
Os2 Os 0.745 0.182 0.318 1
Pb1 Pb 0.495 0.933 0.068 1
Pb2 Pb 0.996 0.431 0.568 1
```



# 4
Density functional theory data (GGA-PBE) for La8Os2Pb after structural relaxation.

Computed properties:
Raw total energy: -6.14 eV/atom
DFT formation energy: -0.178 eV/atom

```
data_La8Os2Pb
_cell_length_a 8.388
_cell_length_b 8.388
_cell_length_c 5.661
_cell_angle_alpha 96.39
_cell_angle_beta 96.39
_cell_angle_gamma 115.59
_symmetry_space_group_name_H-M 'P 1'
_symmetry_Int_Tables_number 1
_symmetry_space_group_name_Hall 'P 1'
loop_
_atom_site_label
_atom_site_type_symbol
_atom_site_fract_x
_atom_site_fract_y
_atom_site_fract_z
_atom_site_occupancy
La1 La 0.098 0.098 0.793 1
La2 La 0.171 0.426 0.452 1
La3 La 0.246 0.754 0.000 1
La4 La 0.426 0.171 0.452 1
La5 La 0.574 0.829 0.548 1
La6 La 0.754 0.246 0.000 1
La7 La 0.829 0.574 0.548 1
La8 La 0.902 0.902 0.207 1
Os1 Os 0.199 0.801 0.500 1
Os2 Os 0.801 0.199 0.500 1
Pb1 Pb 0.500 0.500 0.000 1
```